No. 1
{"formula": "TaReIr", "functional": "GGA-PBE", "state": "optimized geometry", "de_polymorph_mev_per_atom": 763, "density_g_cm3": 16.57, "sg": "F-43m (216)", "delta_e_f_ev_per_fu": 1.45, "lattice_angstrom": [[4.296, 0.000, 0.000], [2.148, 3.721, 0.000], [2.148, 1.240, 3.508]], "species": ["Ta", "Ir", "Re"], "frac_coords": [[0.750, 0.750, 0.750], [0.000, 0.000, 0.000], [0.500, 0.500, 0.500]]}

No. 2
{"formula": "PmPd6", "functional": "GGA-PBE", "state": "optimized geometry", "de_polymorph_mev_per_atom": 1424, "density_g_cm3": 5.99, "sg": "Pm-3m (221)", "delta_e_f_ev_per_fu": 7.06, "lattice_angstrom": [[-3.969, 0.337, -4.502], [-0.059, -5.998, -0.396], [-4.515, -0.217, 3.964]], "species": ["Pd", "Pd", "Pd", "Pd", "Pd", "Pd", "Pm"], "frac_coords": [[0.500, 0.196, 0.500], [0.500, 0.804, 0.500], [0.500, 0.500, 0.196], [0.500, 0.500, 0.804], [0.804, 0.500, 0.500], [0.196, 0.500, 0.500], [0.000, 0.000, 0.000]]}

No. 3
{"formula": "Y3Ho3Tl2", "functional": "GGA-PBE", "state": "optimized geometry", "de_polymorph_mev_per_atom": 76, "density_g_cm3": 7.94, "sg": "Cmcm (63)", "delta_e_f_ev_per_fu": -0.86, "lattice_angstrom": [[-4.841, -1.535, -0.244], [3.088, -2.154, 5.247], [-4.612, 13.248, 8.154]], "species": ["Tl", "Tl", "Tl", "Tl", "Y", "Y", "Y", "Y", "Y", "Y", "Ho", "Ho", "Ho", "Ho", "Ho", "Ho"], "frac_coords": [[0.768, 0.537, 0.866], [0.768, 0.537, 0.634], [0.232, 0.463, 0.366], [0.232, 0.463, 0.134], [0.270, 0.541, 0.750], [0.042, 0.084, 0.896], [0.042, 0.084, 0.604], [0.730, 0.459, 0.250], [0.958, 0.916, 0.104], [0.958, 0.916, 0.396], [0.639, 0.278, 0.034], [0.361, 0.722, 0.534], [0.361, 0.722, 0.966], [0.552, 0.105, 0.750], [0.448, 0.895, 0.250], [0.639, 0.278, 0.466]]}

No. 4
{"formula": "Y2ReP", "functional": "GGA-PBE", "state": "optimized geometry", "density_g_cm3": 7.70, "sg": "P4mm (99)", "delta_e_f_ev_per_fu": -1.18, "lattice_angstrom": [[3.225, 0.000, 0.000], [0.000, 3.225, 0.000], [0.000, 0.000, 8.188]], "species": ["Re", "Y", "Y", "P"], "frac_coords": [[0.500, 0.500, 0.686], [0.500, 0.500, 0.315], [0.000, 0.000, 0.939], [0.000, 0.000, 0.559]]}

No. 5
{"formula": "LiTl2CrCu", "functional": "GGA-PBE", "state": "optimized geometry", "density_g_cm3": 6.40, "sg": "P4/mmm (123)", "delta_e_f_ev_per_fu": 4.17, "lattice_angstrom": [[5.306, 0.000, 0.000], [0.000, 4.897, 0.000], [0.000, 0.000, 5.306]], "species": ["Cu", "Tl", "Tl", "Cr", "Li"], "frac_coords": [[0.500, 0.500, 0.500], [0.000, 0.000, 0.500], [0.500, 0.000, 0.000], [0.000, 0.000, 0.000], [0.000, 0.500, 0.000]]}

No. 6
{"formula": "Mg4Hg2Pb", "functional": "GGA-PBE", "state": "optimized geometry", "density_g_cm3": 7.20, "sg": "Cmcm (63)", "delta_e_f_ev_per_fu": -0.87, "lattice_angstrom": [[4.952, 0.000, 0.000], [-2.476, 4.426, 0.000], [0.000, 0.000, 14.844]], "species": ["Pb", "Pb", "Mg", "Mg", "Mg", "Mg", "Mg", "Mg", "Mg", "Mg", "Hg", "Hg", "Hg", "Hg"], "frac_coords": [[0.491, 0.982, 0.250], [0.509, 0.018, 0.750], [0.838, 0.676, 0.750], [0.169, 0.338, 0.638], [0.169, 0.338, 0.862], [0.500, 0.000, 0.000], [0.831, 0.662, 0.138], [0.831, 0.662, 0.362], [0.162, 0.324, 0.250], [0.500, 0.000, 0.500], [0.833, 0.666, 0.939], [0.833, 0.666, 0.561], [0.167, 0.334, 0.061], [0.167, 0.334, 0.439]]}

| no. | spin magnetization (μB/f.u.) |
| --- | --- |
| 1 | 0.0 |
| 2 | 0.0 |
| 3 | 0.0 |
| 4 | 0.0 |
| 5 | 4.2 |
| 6 | 0.0 |